No. 1
Computed, not measured: an optimized crystal structure of DyZnGa at the PBE-GGA level of DFT.

Calculated values
Magnetization: 0.00 μB/cell
Symmetry: P6_3/mmc (194)
Calculated total energy: -3.371 eV per atom

Cell: 4.8742 4.8742 5.9302 Å, 90.00 90.00 120.00°
Fractional coordinates of all 6 atoms:
Dy: 0.3333 0.6667 0.2500
Dy: 0.6667 0.3333 0.7500
Zn: 0.0000 0.0000 0.0000
Zn: 0.0000 0.0000 0.5000
Ga: 0.3333 0.6667 0.7500
Ga: 0.6667 0.3333 0.2500



No. 2
Computed, not measured: an optimized crystal structure of HfInAu3S4 at the PBE-GGA level of DFT.

Calculated values
Magnetization: 0.00 μB/cell
Symmetry: P-43m (215)
Calculated total energy: -4.774 eV per atom

Cell: 6.1838 6.1838 6.1838 Å, 90.00 90.00 90.00°
Fractional coordinates of all 9 atoms:
Hf: 0.0000 0.0000 0.0000
In: 0.5000 0.5000 0.5000
Au: 0.0000 0.0000 0.5000
Au: 0.0000 0.5000 0.0000
Au: 0.5000 0.0000 0.0000
S: 0.2258 0.2258 0.7742
S: 0.2258 0.7742 0.2258
S: 0.7742 0.2258 0.2258
S: 0.7742 0.7742 0.7742